[1]
Below is crystalline Dy2ZnPd3 at its relaxed geometry, with properties calculated at the PBE level.

Properties
- D(E_F): 0.291 states/eV per atom
- Raw total energy: -5.168 eV/atom
- E_form: -826 meV/atom
- Symmetry: Pnma (62)
- Energy above the lowest structure with this stoichiometry: 0 kJ/mol of formula units

a b c (Å): 3.830 7.165 17.209
angles (deg): 90.00 90.00 90.00
Fractional coordinates of all 24 atoms:
Dy (0.250, 0.160, 0.930)
Zn (0.750, 0.012, 0.560)
Zn (0.250, 0.988, 0.440)
Pd (0.250, 0.697, 0.186)
Pd (0.750, 0.803, 0.686)
Pd (0.750, 0.303, 0.814)
Pd (0.250, 0.197, 0.314)
Dy (0.250, 0.609, 0.791)
Pd (0.250, 0.255, 0.552)
Dy (0.750, 0.340, 0.430)
Dy (0.750, 0.891, 0.291)
Pd (0.750, 0.745, 0.448)
Pd (0.750, 0.245, 0.052)
Pd (0.250, 0.587, 0.344)
Dy (0.750, 0.840, 0.070)
Pd (0.250, 0.755, 0.948)
Dy (0.750, 0.391, 0.209)
Pd (0.750, 0.413, 0.656)
Pd (0.250, 0.087, 0.156)
Zn (0.750, 0.512, 0.940)
Dy (0.250, 0.660, 0.570)
Pd (0.750, 0.913, 0.844)
Dy (0.250, 0.109, 0.709)
Zn (0.250, 0.488, 0.060)

[2]
Below is crystalline Dy3ZnPd4 at its relaxed geometry, with properties calculated at the PBE level.

Properties
- D(E_F): 0.464 states/eV per atom
- Raw total energy: -5.180 eV/atom
- E_form: -699 meV/atom
- Symmetry: Immm (71)

a b c (Å): 3.908 6.336 8.105
angles (deg): 113.01 103.95 90.00
Fractional coordinates of all 8 atoms:
Pd (0.623, 0.410, 0.246)
Dy (0.806, 0.806, 0.613)
Pd (0.623, 0.836, 0.246)
Zn (0.500, 0.000, 0.000)
Pd (0.377, 0.590, 0.754)
Dy (0.194, 0.194, 0.387)
Pd (0.377, 0.164, 0.754)
Dy (0.000, 0.500, 0.000)